[1]
Compound: PmPrBiPb
Source: Alexandria
Functional: PBE
Structure: optimized geometry

The structure belongs to space group F-43m (No. 216); the cell edges are 7.9551, 7.9551 and 7.9551 Å and the angles 90.00°, 90.00° and 90.00°. Symmetry generates all atoms from Pm at (0.0000, 0.0000, 0.0000), Pr at (0.0000, 0.0000, 0.5000), Bi at (0.2500, 0.2500, 0.2500) and Pb at (0.2500, 0.2500, 0.7500).

Its volume is 31.464 Å³ per atom. The spin magnetization is 0.001 μB/atom. For the formation energy, the calculation gives -2.12 eV/f.u.



[2]
Compound: CaNbH3
Source: Alexandria
Functional: PBE
Structure: optimized geometry

The structure belongs to space group Pm-3m (No. 221); the cell edges are 3.9204, 3.9204 and 3.9204 Å and the angles 90.00°, 90.00° and 90.00°. Symmetry generates all atoms from Ca at (0.0000, 0.0000, 0.0000), Nb at (0.5000, 0.5000, 0.5000) and H at (0.0000, 0.0000, 0.5000).

As for the final energy: -19.1 eV/cell. Its volume is 12.051 Å³ per atom. The spin magnetization is 0.473 μB/atom.



[3]
Compound: Tb12Sm5Mg2
Source: Alexandria
Functional: PBE
Structure: optimized geometry

The structure belongs to space group C2/m (No. 12); the cell edges are 15.5932, 9.2302 and 8.4612 Å and the angles 90.00°, 91.98° and 90.00°. Symmetry generates all atoms from Tb at (0.0571, 0.0000, 0.3355), Tb at (0.0767, 0.5000, 0.8791), Tb at (0.1276, 0.1923, 0.6770), Tb at (0.1457, 0.3179, 0.2386), Sm at (0.0000, 0.5000, 0.5000), Sm at (0.2059, 0.0000, 0.0222), Sm at (0.2327, 0.5000, 0.5724) and Mg at (0.0000, 0.1661, 0.0000).

Its volume is 32.028 Å³ per atom. The spin magnetization is 0.000 μB/atom. For the formation energy, the calculation gives 1.79 eV/f.u.



[4]
Compound: Li2TlBr
Source: Alexandria
Functional: PBE
Structure: optimized geometry

The structure belongs to space group C2/m (No. 12); the cell edges are 6.5095, 8.0233 and 3.4854 Å and the angles 90.00°, 90.22° and 90.00°. Symmetry generates all atoms from Li at (0.2500, 0.2500, 0.0000), Tl at (0.0000, 0.0000, 0.5000) and Br at (0.0000, 0.5000, 0.5000).

Its volume is 22.754 Å³ per atom. The spin magnetization is 0.000 μB/atom. The energy relative to the elements, uncorrected is -0.52 eV per atom.



[5]
Compound: Ho2Er2N3
Source: Alexandria
Functional: PBE
Structure: optimized geometry

The structure belongs to space group C2/m (No. 12); the cell edges are 11.4944, 3.4566 and 6.0000 Å and the angles 90.00°, 100.31° and 90.00°. Symmetry generates all atoms from Ho at (0.1332, 0.0000, 0.3651), Er at (0.1254, 0.5000, 0.8858), N at (0.0000, 0.0000, 0.0000) and N at (0.2476, 0.5000, 0.2489).

Its volume is 16.753 Å³ per atom. The spin magnetization is 0.000 μB/atom. The energy relative to the elements, uncorrected is -1.49 eV per atom.



- Look up the spin magnetization of the second one.
  0.473 μB/atom



- The highest spin magnetization belongs to which entry?
  CaNbH3